(1)
# ErPuMn2

Crystalline ErPuMn2 at its relaxed geometry (PBE, Alexandria).

Energy of formation, eV per atom: -0.02
V, Å³ per cell: 148.7

The structure in CIF format:
```
data_ErPuMn2
_space_group_name_H-M_alt 'P 1'
_space_group_IT_number 1
_cell_length_a 4.3197
_cell_length_b 4.3193
_cell_length_c 9.2006
_cell_angle_alpha 90.00
_cell_angle_beta 90.00
_cell_angle_gamma 120.00
loop_
_space_group_symop_operation_xyz
'x,y,z'
loop_
_atom_site_label
_atom_site_type_symbol
_atom_site_fract_x
_atom_site_fract_y
_atom_site_fract_z
Mn1 Mn 0.6667 0.3333 0.0686
Pu1 Pu 0.0000 0.0000 0.5000
Mn2 Mn 0.3333 0.6667 0.5686
Mn3 Mn 0.6667 0.3333 0.4314
Er1 Er 0.3333 0.6667 0.2500
Er2 Er 0.6667 0.3333 0.7500
Mn4 Mn 0.3333 0.6667 0.9314
Pu2 Pu 0.0000 0.0000 0.0000
```

(2)
# ErPuMn4

Crystalline ErPuMn4 at its relaxed geometry (PBE, Alexandria).

Energy of formation, eV per atom: 0.11
V, Å³ per cell: 94.0

The structure in CIF format:
```
data_ErPuMn4
_space_group_name_H-M_alt 'P 1'
_space_group_IT_number 1
_cell_length_a 5.1031
_cell_length_b 5.1031
_cell_length_c 5.1031
_cell_angle_alpha 60.00
_cell_angle_beta 60.00
_cell_angle_gamma 60.00
loop_
_space_group_symop_operation_xyz
'x,y,z'
loop_
_atom_site_label
_atom_site_type_symbol
_atom_site_fract_x
_atom_site_fract_y
_atom_site_fract_z
Mn1 Mn 0.6253 0.6253 0.1240
Er1 Er 0.2500 0.2500 0.2500
Mn2 Mn 0.6253 0.1240 0.6253
Mn3 Mn 0.6253 0.6253 0.6253
Mn4 Mn 0.1240 0.6253 0.6253
Pu1 Pu 0.0000 0.0000 0.0000
```

(3)
# Er2PuMn

Crystalline Er2PuMn at its relaxed geometry (PBE, Alexandria).

Energy of formation, eV per atom: 0.19
V, Å³ per cell: 101.3

The structure in CIF format:
```
data_Er2PuMn
_space_group_name_H-M_alt 'P 1'
_space_group_IT_number 1
_cell_length_a 3.4153
_cell_length_b 3.4153
_cell_length_c 8.6803
_cell_angle_alpha 90.00
_cell_angle_beta 90.00
_cell_angle_gamma 90.00
loop_
_space_group_symop_operation_xyz
'x,y,z'
loop_
_atom_site_label
_atom_site_type_symbol
_atom_site_fract_x
_atom_site_fract_y
_atom_site_fract_z
Er1 Er 0.0000 0.0000 0.2012
Er2 Er 0.0000 0.0000 0.7988
Pu1 Pu 0.5000 0.5000 0.5000
Mn1 Mn 0.5000 0.5000 0.0000
```